AlCuTe2 | Alexandria via LeMat-Bulk | SCAN | PBEsol geometry; magnetization = 0.00 μB/atom; raw formation energy = 0.2519 eV/atom
1.0
-1.0762 3.1854 1.6329
-2.2015 -2.0205 2.4906
5.0247 -0.4091 4.1097
Te Al Cu
2 1 1
Cartesian
0.0000 0.0000 0.0000
1.4116 -1.2148 3.3001
-1.6389 0.5824 2.0617
1.9743 1.3882 2.8713

Al2CuTe | Alexandria via LeMat-Bulk | SCAN | PBEsol geometry; magnetization = 0.00 μB/atom; raw formation energy = 0.2162 eV/atom
1.0
-0.1324 1.0548 3.6801
-0.5354 -3.5595 1.0010
5.6264 0.5652 -1.9532
Te Al Cu
1 2 1
Cartesian
-0.2677 -1.7798 0.5005
3.0847 -0.4005 0.2258
1.8739 -1.5390 2.5022
-0.0662 0.5274 1.8401